VIn2F5 after structural relaxation. Source: Alexandria, functional PBE with a Hubbard U.

Unit cell a=5.7651 b=7.6798 c=7.6910 alpha=115.64 beta=108.75 gamma=96.77
Last column: nearest neighbours and their distance in Å.
Space group P-1 (No. 2)
One atom of each set of equivalent atoms:
V (0.0000, 0.0000, 0.0000) (multiplicity 1)  6 F 1.96-2.06
V (0.0000, 0.5000, 0.0000) (multiplicity 1)  6 F 1.96-2.05
In (0.3214, 0.1181, 0.6305) (multiplicity 2)  4 F 2.46-2.65
In (0.3434, 0.6559, 0.6906) (multiplicity 2)  4 F 2.49-2.79
F (0.1205, 0.3784, 0.7765) (multiplicity 2)  1 V 1.96
F (0.1376, 0.7721, 0.0232) (multiplicity 2)  2 V 2.05-2.06
F (0.1948, 0.1823, 0.3054) (multiplicity 2)  1 V 1.96
F (0.2971, 0.0980, 0.9595) (multiplicity 2)  1 V 1.96
F (0.3433, 0.5603, 0.2150) (multiplicity 2)  1 V 1.97

Calculated values
calculated total energy: -5.088 eV per atom
calculated density: 4.499 Mg/m³